Record 1
Here is a relaxed HfTlAgTeSe2 crystal from the Open Quantum Materials Database. Energies are from PBE-GGA. Values from VASP.

```
&SYSTEM
  ibrav = 0, nat = 12, ntyp = 5
/
ATOMIC_SPECIES
Hf 178.49 Hf.upf
Tl 204.38 Tl.upf
Ag 107.87 Ag.upf
Te 127.60 Te.upf
Se 78.96 Se.upf
CELL_PARAMETERS angstrom
8.346 0.000 0.000
0.000 3.973 0.000
-3.473 0.000 9.725
ATOMIC_POSITIONS angstrom
Hf 1.026 0.993 1.489
Hf 3.846 2.980 8.235
Tl -0.390 2.980 7.032
Tl 5.263 0.993 2.693
Ag 2.231 2.980 3.816
Ag 2.641 0.993 5.909
Te 0.226 0.993 4.254
Te 4.647 2.980 5.471
Se -2.620 0.993 8.509
Se 2.849 2.980 1.262
Se 2.024 0.993 8.463
Se 7.493 2.980 1.215
```

crystal system	monoclinic
polymorph energy (0 for the lowest one)	0.0	meV per atom

Record 2
Here is a relaxed SrSmAu crystal from the Open Quantum Materials Database. Energies are from PBE-GGA. Values from VASP.

```
&SYSTEM
  ibrav = 0, nat = 12, ntyp = 3
/
ATOMIC_SPECIES
Sr 87.62 Sr.upf
Sm 150.36 Sm.upf
Au 196.97 Au.upf
CELL_PARAMETERS angstrom
7.164 0.000 0.000
0.000 7.164 0.000
0.000 0.000 7.164
ATOMIC_POSITIONS angstrom
Sr 0.000 0.000 0.000
Sr 0.000 3.582 3.582
Sr 3.582 0.000 3.582
Sr 3.582 3.582 0.000
Sm 1.791 1.791 5.373
Sm 1.791 5.373 1.791
Sm 5.373 1.791 1.791
Sm 5.373 5.373 5.373
Au 0.000 0.000 3.582
Au 0.000 3.582 0.000
Au 3.582 0.000 0.000
Au 3.582 3.582 3.582
```

crystal system	cubic
VASP energy	-3.0876	eV per atom

Record 3
Here is a relaxed PuMgNp crystal from the Open Quantum Materials Database. Energies are from PBE-GGA. Values from VASP.

```
&SYSTEM
  ibrav = 0, nat = 12, ntyp = 3
/
ATOMIC_SPECIES
Pu 244.00 Pu.upf
Mg 24.30 Mg.upf
Np 237.00 Np.upf
CELL_PARAMETERS angstrom
6.781 0.000 0.000
0.000 6.781 0.000
0.000 0.000 6.781
ATOMIC_POSITIONS angstrom
Pu 0.000 0.000 0.000
Pu 0.000 3.390 3.390
Pu 3.390 0.000 3.390
Pu 3.390 3.390 0.000
Mg 1.695 1.695 5.086
Mg 1.695 5.086 1.695
Mg 5.086 1.695 1.695
Mg 5.086 5.086 5.086
Np 1.695 1.695 1.695
Np 1.695 5.086 5.086
Np 5.086 1.695 5.086
Np 5.086 5.086 1.695
```

crystal system	cubic
polymorph energy (0 for the lowest one)	0.0	meV per atom